## BaCaSeBr2 (PBE)

Data for an optimized crystal structure of BaCaSeBr2.

Cell: 5.496 5.496 5.722 Å, 90.00 90.00 90.00°
Atoms (fractional coordinates):
Ba  0.500  0.500  0.500
Ca  0.000  0.000  0.000
Br  0.500  0.000  0.000
Se  0.000  0.000  0.500
Br  0.000  0.500  0.000

Results
The magnetization comes out at 0.00 μB/cell. As for the energy relative to the elements, uncorrected: -9.22 eV per formula unit.